# CeMg2Cd | the Alexandria database | GGA-PBE | optimized geometry
# Energy relative to the elements ... -0.3 eV/f.u.
# Density ... 5.21 g cm⁻³
# Offset from the most stable computed form ... 50 meV/atom
data_CeMg2Cd
_chemical_formula_sum 'Ce4 Mg8 Cd4'
_symmetry_space_group_name_H-M 'F m -3 m'
_symmetry_Int_Tables_number 225
_symmetry_space_group_name_Hall '-F 4 2 3'
_cell_length_a 7.2674
_cell_length_b 7.2674
_cell_length_c 7.2674
_cell_angle_alpha 90.00
_cell_angle_beta 90.00
_cell_angle_gamma 90.00
loop_
_atom_site_label
_atom_site_type_symbol
_atom_site_fract_x
_atom_site_fract_y
_atom_site_fract_z
Ce1 Ce 0.0000 0.0000 0.0000
Mg1 Mg 0.2500 0.2500 0.2500
Cd1 Cd 0.0000 0.0000 0.5000

***

# Ce3PuCo8 | the Alexandria database | GGA-PBE | optimized geometry
# Energy relative to the elements ... -2.7 eV/f.u.
# Density ... 10.73 g cm⁻³
data_Ce3PuCo8
_chemical_formula_sum 'Ce9 Pu3 Co24'
_symmetry_space_group_name_H-M 'R 3 m'
_symmetry_Int_Tables_number 160
_symmetry_space_group_name_Hall 'R 3 -2"'
_cell_length_a 4.9908
_cell_length_b 4.9908
_cell_length_c 24.4423
_cell_angle_alpha 90.00
_cell_angle_beta 90.00
_cell_angle_gamma 120.00
loop_
_atom_site_label
_atom_site_type_symbol
_atom_site_fract_x
_atom_site_fract_y
_atom_site_fract_z
Ce1 Ce 0.0000 0.0000 0.0000
Ce2 Ce 0.0000 0.0000 0.1255
Ce3 Ce 0.0000 0.0000 0.6234
Pu1 Pu 0.0000 0.0000 0.4993
Co1 Co 0.0000 0.0000 0.3122
Co2 Co 0.0000 0.0000 0.8127
Co3 Co 0.0002 0.5001 0.5614
Co4 Co 0.0011 0.5006 0.0626

***

# BaCdH3 | the Alexandria database | GGA-PBE | optimized geometry
# Density ... 5.18 g cm⁻³
# Offset from the most stable computed form ... 0 meV/atom
data_BaCdH3
_chemical_formula_sum 'Ba4 Cd4 H12'
_symmetry_space_group_name_H-M 'C m c m'
_symmetry_Int_Tables_number 63
_symmetry_space_group_name_Hall '-C 2c 2'
_cell_length_a 4.4938
_cell_length_b 13.4629
_cell_length_c 5.3597
_cell_angle_alpha 90.00
_cell_angle_beta 90.00
_cell_angle_gamma 90.00
loop_
_atom_site_label
_atom_site_type_symbol
_atom_site_fract_x
_atom_site_fract_y
_atom_site_fract_z
Ba1 Ba 0.0000 0.1425 0.2500
Cd1 Cd 0.0000 0.4248 0.2500
H1 H 0.0000 0.0641 0.7500
H2 H 0.0000 0.3200 0.0009

***

# PuCd2As | the Alexandria database | GGA-PBE | optimized geometry
# Energy relative to the elements ... 1.2 eV/f.u.
# Density ... 9.50 g cm⁻³
data_PuCd2As
_chemical_formula_sum 'Pu3 Cd6 As3'
_symmetry_space_group_name_H-M 'R -3 m'
_symmetry_Int_Tables_number 166
_symmetry_space_group_name_Hall '-R 3 2"'
_cell_length_a 3.0850
_cell_length_b 3.0850
_cell_length_c 34.5963
_cell_angle_alpha 90.00
_cell_angle_beta 90.00
_cell_angle_gamma 120.00
loop_
_atom_site_label
_atom_site_type_symbol
_atom_site_fract_x
_atom_site_fract_y
_atom_site_fract_z
Pu1 Pu 0.0000 0.0000 0.0000
Cd1 Cd 0.0000 0.0000 0.0911
As1 As 0.0000 0.0000 0.5000

***

# In2SnHg2 | the Alexandria database | GGA-PBE | optimized geometry
# Energy relative to the elements ... 0.3 eV/f.u.
# Density ... 9.20 g cm⁻³
# Offset from the most stable computed form ... 27 meV/atom
data_In2SnHg2
_chemical_formula_sum 'In4 Sn2 Hg4'
_symmetry_space_group_name_H-M 'P 4/m b m'
_symmetry_Int_Tables_number 127
_symmetry_space_group_name_Hall '-P 4 2ab'
_cell_length_a 8.3466
_cell_length_b 8.3466
_cell_length_c 3.8847
_cell_angle_alpha 90.00
_cell_angle_beta 90.00
_cell_angle_gamma 90.00
loop_
_atom_site_label
_atom_site_type_symbol
_atom_site_fract_x
_atom_site_fract_y
_atom_site_fract_z
In1 In 0.1642 0.3358 0.0000
Sn1 Sn 0.0000 0.0000 0.5000
Hg1 Hg 0.1371 0.6371 0.5000

***

# Ca2YNi | the Alexandria database | GGA-PBE | optimized geometry
# Energy relative to the elements ... 1.5 eV/f.u.
# Density ... 3.51 g cm⁻³
# Offset from the most stable computed form ... 490 meV/atom
data_Ca2YNi
_chemical_formula_sum 'Ca8 Y4 Ni4'
_symmetry_space_group_name_H-M 'F m -3 m'
_symmetry_Int_Tables_number 225
_symmetry_space_group_name_Hall '-F 4 2 3'
_cell_length_a 7.5510
_cell_length_b 7.5510
_cell_length_c 7.5510
_cell_angle_alpha 90.00
_cell_angle_beta 90.00
_cell_angle_gamma 90.00
loop_
_atom_site_label
_atom_site_type_symbol
_atom_site_fract_x
_atom_site_fract_y
_atom_site_fract_z
Ca1 Ca 0.2500 0.2500 0.2500
Y1 Y 0.0000 0.0000 0.0000
Ni1 Ni 0.0000 0.0000 0.5000

***

Number 1: volume 96 Å³/f.u.. Number 2: volume 176 Å³/f.u.. Number 3: volume 81 Å³/f.u.. Number 4: volume 95 Å³/f.u.. Number 5: volume 135 Å³/f.u.. Number 6: volume 108 Å³/f.u..